1.
A relaxed structure of AcCd8Cu4. Source: Alexandria, functional PBE-GGA.

Summary:
Energy   -28.95 eV per cell
Total moment   0.000 μB per atom
Energy of formation   -0.088 eV/atom

Cell lengths 7.4575, 7.4575, 7.4575 Å; angles 97.52, 97.52, 137.60 degrees
Element x y z (fractional)
Ac 0.0000 0.0000 0.0000
Cd 0.0000 0.3461 0.3461
Cd 0.0000 0.6539 0.6539
Cd 0.2786 0.5000 0.7786
Cd 0.3461 0.0000 0.3461
Cd 0.5000 0.2786 0.7786
Cd 0.5000 0.7214 0.2214
Cd 0.6539 0.0000 0.6539
Cd 0.7214 0.5000 0.2214
Cu 0.0000 0.0000 0.5000
Cu 0.0000 0.5000 0.0000
Cu 0.5000 0.0000 0.0000
Cu 0.5000 0.5000 0.5000

2.
A relaxed structure of MnVSn. Source: Alexandria, functional PBE-GGA.

Summary:
Energy   -21.99 eV per cell
Total moment   0.000 μB per atom
Energy of formation   0.101 eV/atom

Cell lengths 5.1130, 5.1130, 5.1130 Å; angles 144.72, 144.72, 50.75 degrees
Element x y z (fractional)
Mn 0.0000 0.0000 0.0000
V 0.6334 0.6334 0.0000
Sn 0.3218 0.3218 0.0000

3.
A relaxed structure of K2Zn6Au9. Source: Alexandria, functional PBE-GGA.

Summary:
Energy   -42.56 eV per cell
Total moment   0.000 μB per atom
Energy of formation   -0.190 eV/atom

Cell lengths 6.1827, 6.1827, 11.6078 Å; angles 90.00, 90.00, 120.00 degrees
Element x y z (fractional)
K 0.0000 0.0000 0.1857
K 0.0000 0.0000 0.8143
Zn 0.3333 0.6667 0.1672
Zn 0.3333 0.6667 0.5000
Zn 0.3333 0.6667 0.8328
Zn 0.6667 0.3333 0.1672
Zn 0.6667 0.3333 0.5000
Zn 0.6667 0.3333 0.8328
Au 0.0000 0.5000 0.0000
Au 0.0000 0.5000 0.3342
Au 0.0000 0.5000 0.6658
Au 0.5000 0.0000 0.0000
Au 0.5000 0.0000 0.3342
Au 0.5000 0.0000 0.6658
Au 0.5000 0.5000 0.0000
Au 0.5000 0.5000 0.3342
Au 0.5000 0.5000 0.6658

4.
A relaxed structure of NaMg2GeH. Source: Alexandria, functional PBE-GGA.

Summary:
Energy   -12.77 eV per cell
Total moment   0.000 μB per atom

Cell lengths 4.4320, 4.4320, 4.2544 Å; angles 90.00, 90.00, 90.00 degrees
Element x y z (fractional)
Na 0.0000 0.0000 0.0000
Mg 0.0000 0.5000 0.5000
Mg 0.5000 0.0000 0.5000
Ge 0.5000 0.5000 0.0000
H 0.0000 0.0000 0.5000

Quick rundown of volume, same order as above: 20.057, 14.786, 22.604, 16.713 A^3/atom